# TaNbTe4 | Alexandria | GGA-PBE | relaxed
data_TaNbTe4
_chemical_formula_sum 'Ta3 Nb3 Te12'
_space_group_name_H-M_alt 'P 1'
_space_group_IT_number 1
_space_group_name_Hall 'P 1'
_cell_length_a 7.299
_cell_length_b 7.794
_cell_length_c 9.617
_cell_angle_alpha 111.37
_cell_angle_beta 90.04
_cell_angle_gamma 103.48
loop_
_atom_site_label
_atom_site_type_symbol
_atom_site_fract_x
_atom_site_fract_y
_atom_site_fract_z
_atom_site_occupancy
Ta1 Ta 0.000 0.000 0.000 1
Ta2 Ta 0.181 0.724 0.711 1
Ta3 Ta 0.681 0.724 0.711 1
Nb1 Nb 0.362 0.450 0.424 1
Nb2 Nb 0.500 0.999 0.998 1
Nb3 Nb 0.862 0.450 0.424 1
Te1 Te 0.005 0.020 0.727 1
Te2 Te 0.034 0.135 0.327 1
Te3 Te 0.179 0.716 0.408 1
Te4 Te 0.183 0.735 0.016 1
Te5 Te 0.327 0.312 0.095 1
Te6 Te 0.358 0.431 0.698 1
Te7 Te 0.504 0.018 0.725 1
Te8 Te 0.534 0.136 0.327 1
Te9 Te 0.679 0.716 0.408 1
Te10 Te 0.684 0.735 0.016 1
Te11 Te 0.828 0.312 0.095 1
Te12 Te 0.858 0.431 0.697 1
# raw formation energy = -0.4111 eV per atom

=====

# TaNbTe4 | Alexandria | GGA-PBE | relaxed
data_TaNbTe4
_chemical_formula_sum 'Ta4 Nb4 Te16'
_space_group_name_H-M_alt 'C 1 2/c 1'
_space_group_IT_number 15
_space_group_name_Hall '-C 2yc'
_cell_length_a 8.109
_cell_length_b 15.053
_cell_length_c 6.368
_cell_angle_alpha 90.00
_cell_angle_beta 121.27
_cell_angle_gamma 90.00
loop_
_atom_site_label
_atom_site_type_symbol
_atom_site_fract_x
_atom_site_fract_y
_atom_site_fract_z
_atom_site_occupancy
Ta1 Ta 0.000 0.054 0.250 1
Nb1 Nb 0.000 0.163 0.750 1
Te1 Te 0.223 0.442 0.242 1
Te2 Te 0.243 0.192 0.247 1
# raw formation energy = -0.2402 eV per atom

=====

# Ta3NbTe8 | Alexandria | GGA-PBE | relaxed
data_Ta3NbTe8
_chemical_formula_sum 'Ta6 Nb2 Te16'
_space_group_name_H-M_alt 'C 1 2/m 1'
_space_group_IT_number 12
_space_group_name_Hall '-C 2y'
_cell_length_a 12.768
_cell_length_b 7.355
_cell_length_c 8.447
_cell_angle_alpha 90.00
_cell_angle_beta 119.82
_cell_angle_gamma 90.00
loop_
_atom_site_label
_atom_site_type_symbol
_atom_site_fract_x
_atom_site_fract_y
_atom_site_fract_z
_atom_site_occupancy
Ta1 Ta 0.000 0.000 0.000 1
Ta2 Ta 0.250 0.250 0.000 1
Nb1 Nb 0.000 0.500 0.000 1
Te1 Te 0.001 0.249 0.749 1
Te2 Te 0.249 0.000 0.251 1
Te3 Te 0.250 0.000 0.749 1
# raw formation energy = -0.3505 eV per atom

=====

# TaNb3Te | Alexandria | GGA-PBE | relaxed
data_TaNb3Te
_chemical_formula_sum 'Ta1 Nb3 Te1'
_space_group_name_H-M_alt 'P m -3 m'
_space_group_IT_number 221
_space_group_name_Hall '-P 4 2 3'
_cell_length_a 4.938
_cell_length_b 4.938
_cell_length_c 4.938
_cell_angle_alpha 90.00
_cell_angle_beta 90.00
_cell_angle_gamma 90.00
loop_
_atom_site_label
_atom_site_type_symbol
_atom_site_fract_x
_atom_site_fract_y
_atom_site_fract_z
_atom_site_occupancy
Ta1 Ta 0.000 0.000 0.000 1
Nb1 Nb 0.000 0.500 0.500 1
Te1 Te 0.500 0.500 0.500 1
# raw formation energy = 1.5515 eV per atom

=====

# Ta2NbTe5 | Alexandria | GGA-PBE | relaxed
data_Ta2NbTe5
_chemical_formula_sum 'Ta2 Nb1 Te5'
_space_group_name_H-M_alt 'P 1'
_space_group_IT_number 1
_space_group_name_Hall 'P 1'
_cell_length_a 6.479
_cell_length_b 7.265
_cell_length_c 7.360
_cell_angle_alpha 116.46
_cell_angle_beta 91.12
_cell_angle_gamma 113.06
loop_
_atom_site_label
_atom_site_type_symbol
_atom_site_fract_x
_atom_site_fract_y
_atom_site_fract_z
_atom_site_occupancy
Ta1 Ta 0.000 0.000 0.000 1
Ta2 Ta 0.406 0.813 0.363 1
Nb1 Nb 0.995 0.843 0.322 1
Te1 Te 0.005 0.419 0.172 1
Te2 Te 0.292 0.072 0.726 1
Te3 Te 0.389 0.139 0.269 1
Te4 Te 0.602 0.690 0.020 1
Te5 Te 0.713 0.793 0.601 1
# raw formation energy = 0.0186 eV per atom

=====

# TaNbTe2 | Alexandria | GGA-PBE | relaxed
data_TaNbTe2
_chemical_formula_sum 'Ta4 Nb4 Te8'
_space_group_name_H-M_alt 'P 1 21/c 1'
_space_group_IT_number 14
_space_group_name_Hall '-P 2ybc'
_cell_length_a 8.849
_cell_length_b 6.374
_cell_length_c 8.686
_cell_angle_alpha 90.00
_cell_angle_beta 116.76
_cell_angle_gamma 90.00
loop_
_atom_site_label
_atom_site_type_symbol
_atom_site_fract_x
_atom_site_fract_y
_atom_site_fract_z
_atom_site_occupancy
Ta1 Ta 0.118 0.164 0.061 1
Nb1 Nb 0.021 0.529 0.801 1
Te1 Te 0.221 0.730 0.145 1
Te2 Te 0.322 0.246 0.908 1
# raw formation energy = -0.1987 eV per atom

=====

# TaNb2Te3 | Alexandria | GGA-PBE | relaxed
data_TaNb2Te3
_chemical_formula_sum 'Ta2 Nb4 Te6'
_space_group_name_H-M_alt 'P 1 21/m 1'
_space_group_IT_number 11
_space_group_name_Hall '-P 2yb'
_cell_length_a 8.121
_cell_length_b 3.572
_cell_length_c 10.756
_cell_angle_alpha 90.00
_cell_angle_beta 100.91
_cell_angle_gamma 90.00
loop_
_atom_site_label
_atom_site_type_symbol
_atom_site_fract_x
_atom_site_fract_y
_atom_site_fract_z
_atom_site_occupancy
Ta1 Ta 0.085 0.250 0.254 1
Nb1 Nb 0.092 0.250 0.578 1
Nb2 Nb 0.148 0.750 0.056 1
Te1 Te 0.180 0.250 0.845 1
Te2 Te 0.277 0.750 0.452 1
Te3 Te 0.398 0.250 0.176 1
# raw formation energy = -0.2514 eV per atom

=====

# TaNbTe2 | Alexandria | GGA-PBE | relaxed
data_TaNbTe2
_chemical_formula_sum 'Ta3 Nb3 Te6'
_space_group_name_H-M_alt 'R -3 m'
_space_group_IT_number 166
_space_group_name_Hall '-R 3 2"'
_cell_length_a 3.3454
_cell_length_b 3.3454
_cell_length_c 28.6442
_cell_angle_alpha 90.00
_cell_angle_beta 90.00
_cell_angle_gamma 120.00
loop_
_atom_site_label
_atom_site_type_symbol
_atom_site_fract_x
_atom_site_fract_y
_atom_site_fract_z
_atom_site_occupancy
Ta1 Ta 0.0000 0.0000 0.0000 1
Nb1 Nb 0.0000 0.0000 0.5000 1
Te1 Te 0.0000 0.0000 0.0963 1
# raw formation energy = 0.2834 eV per atom

=====

> raw formation energy of number 8 (TaNbTe2)?

0.2834 eV per atom